Record 1
Ce5ZnIr4: relaxed, PBE-GGA.

Values from the calculation:
calculated formation energy	-0.58	eV per atom
space-group type	I4, No. 79

extended XYZ file:
```
10
Lattice="-4.548 4.548 2.887 4.548 -4.548 2.887 4.548 4.548 -2.887" Properties=species:S:1:pos:R:3 pbc="T T T"
Ce 0.000 0.000 0.000
Ce 3.612 1.671 0.009
Ce 2.877 -0.937 2.896
Ce 1.671 5.485 0.009
Ce 0.937 2.877 2.896
Zn 0.000 0.000 2.886
Ir 6.404 0.970 0.009
Ir 0.970 2.693 0.009
Ir 3.579 1.856 2.896
Ir -1.856 3.579 2.896
```

=====

Record 2
CaTi: relaxed, PBE-GGA.

Values from the calculation:
calculated formation energy	0.72	eV per atom
space-group type	Fddd, No. 70

extended XYZ file:
```
8
Lattice="0.000 4.807 5.879 3.927 0.000 5.879 3.927 4.807 0.000" Properties=species:S:1:pos:R:3 pbc="T T T"
Ca 2.945 0.526 4.409
Ca 4.909 2.929 7.349
Ca 2.945 6.685 4.409
Ca 4.909 9.088 7.349
Ti 4.003 3.605 4.409
Ti 5.967 6.009 7.349
Ti 1.887 3.605 4.409
Ti 3.851 6.009 7.349
```

=====

Record 3
La6Cd5Te: relaxed, PBE-GGA.

Values from the calculation:
raw total energy	-0.265	Ry/atom
space-group type	Immm, No. 71

extended XYZ file:
```
12
Lattice="-2.795 3.863 8.442 2.795 -3.863 8.442 2.795 3.863 -8.442" Properties=species:S:1:pos:R:3 pbc="T T T"
La 2.795 1.900 -2.775
La 0.000 1.883 0.000
La 2.795 1.900 2.775
La 0.000 1.963 5.667
La 0.000 5.842 0.000
La 0.000 1.963 11.217
Cd 0.000 0.000 3.024
Cd 2.795 0.000 5.643
Cd 0.000 0.000 8.442
Cd 0.000 3.863 2.799
Cd 0.000 0.000 13.860
Te 2.795 0.000 0.000
```

=====

Record 4
GePtO2: relaxed, PBE-GGA.

Values from the calculation:
raw total energy	-0.438	Ry/atom
space-group type	Cm, No. 8

extended XYZ file:
```
8
Lattice="5.853 -1.395 0.000 5.853 1.395 0.000 -0.038 0.000 6.421" Properties=species:S:1:pos:R:3 pbc="T T T"
Ge 0.000 0.000 0.000
Ge 2.790 0.000 3.520
Pt 5.157 0.000 3.120
Pt 8.006 0.000 0.369
O 4.988 0.000 1.095
O 5.359 0.000 5.150
O 7.814 0.000 2.425
O 8.342 0.000 4.775
```

=====

Record 5
MgBi2: relaxed, PBE-GGA.

Values from the calculation:
calculated formation energy	-0.04	eV per atom
space-group type	C2/m, No. 12

extended XYZ file:
```
6
Lattice="5.825 -1.708 0.000 5.825 1.708 0.000 -4.502 0.000 8.880" Properties=species:S:1:pos:R:3 pbc="T T T"
Mg 1.841 0.000 1.094
Mg 5.307 0.000 7.786
Bi -0.783 0.000 5.083
Bi 4.888 0.000 1.434
Bi 2.260 0.000 7.445
Bi 7.930 0.000 3.796
```

=====

Record 6
CsSbBr3: relaxed, PBE-GGA.

Values from the calculation:
raw total energy	-0.218	Ry/atom
space-group type	Pm-3m, No. 221

extended XYZ file:
```
5
Lattice="5.833 0.000 0.000 0.000 5.833 0.000 0.000 0.000 5.833" Properties=species:S:1:pos:R:3 pbc="T T T"
Cs 0.000 0.000 0.000
Sb 2.917 2.917 2.917
Br 0.000 2.917 2.917
Br 2.917 0.000 2.917
Br 2.917 2.917 0.000
```

=====

The density of states at the Fermi level results, record by record, are as follows: 13.94, 8.73, 11.91, 1.21, 2.80, 2.10 states/eV per cell.